First-principles (PBE-GGA) data for a relaxed Cs3Cd2In crystal, as listed in Alexandria.

a b c (Å): 5.3541 10.7123 13.9393
angles (deg): 69.61 78.93 75.53
Positions (direct):
In: 0.4083 0.4834 0.7000
Cd: 0.4391 0.6537 0.4680
Cs: 0.6571 0.6977 0.9882
Cs: 0.7913 0.8102 0.6071
Cs: 0.3429 0.3023 0.0118
In: 0.5917 0.5166 0.3000
Cd: 0.5609 0.3463 0.5320
Cd: 0.8648 0.4711 0.7994
Cs: 0.2087 0.1898 0.3929
Cd: 0.1352 0.5289 0.2006
Cs: 0.9454 0.8546 0.2545
Cs: 0.0546 0.1454 0.7455

Summary:
For the formation energy from the elements, the calculation gives 9 meV/atom. Its space group is C2/m. Its raw total energy is -1.18 eV/atom.